Below is a relaxed TiMnFeRe crystal, with properties calculated at the PBE level.

Magnetization ... 1.69 Bohr magnetons per cell
Calculated formation energy ... -0.14 eV/atom
Calculated total energy ... -38.55 eV/cell
Density ... 10.93 g/cm3

Lattice parameters (Å, degrees): 4.2002 4.2002 4.2002 60.00 60.00 60.00
Closest atoms and distances in Å follow each position.
Positions (direct):
Re 0.7500 0.7500 0.7500  4 Fe 2.57, 4 Mn 2.57
Fe 0.5000 0.5000 0.5000  4 Ti 2.57, 4 Re 2.57
Ti 0.2500 0.2500 0.2500  4 Mn 2.57, 4 Fe 2.57
Mn 0.0000 0.0000 0.0000  4 Re 2.57, 4 Ti 2.57